Record 1
## DyTmSc (PBE-GGA)

Data for a relaxed DyTmSc crystal.

a b c (Å): 3.445 3.445 14.440
angles (deg): 90.00 90.00 90.00
Fractional positions:
Dy 0.000 0.000 0.000
Dy 0.500 0.500 0.500
Tm 0.000 0.000 0.324
Tm 0.500 0.500 0.824
Sc 0.000 0.000 0.663
Sc 0.500 0.500 0.163

Summary:
Its magnetization is 0.000 μB per cell. The value obtained for the calculated density is 7.30 Mg/m³. As for the density of states at the Fermi level: 4.42 states/eV/f.u. The value obtained for the formation energy is 0.04 eV/atom. Its energy above the most stable polymorph in this dataset is 0.027 eV per atom. As for the crystal system: tetragonal. Its space group is No. 107.

Record 2
## Si3PF (PBE-GGA)

Data for a relaxed Si3PF crystal.

a b c (Å): 4.406 4.406 4.406
angles (deg): 90.00 90.00 90.00
Fractional positions:
Si 0.000 0.000 0.500
Si 0.000 0.500 0.000
Si 0.500 0.000 0.000
P 0.500 0.500 0.500
F 0.000 0.000 0.000

Summary:
Its magnetization is 0.000 μB per cell. The value obtained for the calculated density is 2.61 Mg/m³. As for the density of states at the Fermi level: 2.80 states/eV/f.u. Its energy above the most stable polymorph in this dataset is 0.011 eV per atom. As for the crystal system: cubic. The value obtained for the energy relative to the elements, uncorrected is 0.6644 eV per atom. Its space group is No. 221.

Record 3
## SrPmH8Pt2 (PBE-GGA)

Data for a relaxed SrPmH8Pt2 crystal.

a b c (Å): 7.128 7.128 7.128
angles (deg): 39.82 39.82 39.82
Fractional positions:
Sr 0.000 0.000 0.000
Pm 0.500 0.500 0.500
H 0.092 0.547 0.547
H 0.147 0.147 0.147
H 0.453 0.453 0.908
H 0.453 0.908 0.453
H 0.547 0.092 0.547
H 0.547 0.547 0.092
H 0.853 0.853 0.853
H 0.908 0.453 0.453
Pt 0.232 0.232 0.232
Pt 0.768 0.768 0.768

Summary:
Its magnetization is 0.000 μB per cell. The value obtained for the calculated density is 7.83 Mg/m³. As for the density of states at the Fermi level: 4.66 states/eV/f.u. The energy is -4.09 eV/atom. As for the crystal system: trigonal. Its space group is No. 166.

Record 4
## LiTe2Au (PBE-GGA)

Data for a relaxed LiTe2Au crystal.

a b c (Å): 5.464 5.464 3.120
angles (deg): 90.00 90.00 90.00
Fractional positions:
Li 0.000 0.000 0.000
Te 0.000 0.500 0.500
Te 0.500 0.000 0.500
Au 0.500 0.500 0.000

Summary:
Its magnetization is 0.000 μB per cell. The value obtained for the calculated density is 8.18 Mg/m³. As for the density of states at the Fermi level: 1.57 states/eV/f.u. As for the crystal system: tetragonal. The value obtained for the energy relative to the elements, uncorrected is -0.1853 eV per atom. Its space group is No. 123.

Record 5
## Cs3TlCr (PBE-GGA)

Data for a relaxed Cs3TlCr crystal.

a b c (Å): 7.302 7.302 7.302
angles (deg): 90.00 90.00 90.00
Fractional positions:
Cs 0.000 0.000 0.500
Cs 0.000 0.500 0.000
Cs 0.500 0.000 0.000
Tl 0.000 0.000 0.000
Cr 0.500 0.500 0.500

Summary:
Its magnetization is 5.336 μB per cell. The value obtained for the calculated density is 2.79 Mg/m³. As for the density of states at the Fermi level: 4.87 states/eV/f.u. The value obtained for the formation energy is 0.70 eV/atom. As for the crystal system: cubic. Its space group is No. 221.

Record 6
## LaAsW2 (PBE-GGA)

Data for a relaxed LaAsW2 crystal.

a b c (Å): 3.439 3.439 6.928
angles (deg): 90.00 90.00 90.00
Fractional positions:
La 0.000 0.000 0.000
As 0.000 0.000 0.500
W 0.500 0.500 0.322
W 0.500 0.500 0.678

Summary:
Its magnetization is 0.000 μB per cell. The value obtained for the calculated density is 11.78 Mg/m³. As for the density of states at the Fermi level: 3.26 states/eV/f.u. The value obtained for the formation energy is 0.56 eV/atom. As for the crystal system: tetragonal. Its space group is No. 123.

Record 7
## Tl2ICl6 (PBE-GGA)

Data for a relaxed Tl2ICl6 crystal.

a b c (Å): 7.799 8.054 11.789
angles (deg): 90.00 121.61 90.00
Fractional positions:
Tl 0.179 0.091 0.222
Tl 0.179 0.409 0.722
Tl 0.821 0.591 0.278
Tl 0.821 0.909 0.778
I 0.500 0.000 0.000
I 0.500 0.500 0.500
Cl 0.127 0.191 0.945
Cl 0.127 0.309 0.445
Cl 0.307 0.735 0.960
Cl 0.307 0.765 0.460
Cl 0.378 0.018 0.757
Cl 0.378 0.482 0.257
Cl 0.622 0.518 0.743
Cl 0.622 0.982 0.243
Cl 0.693 0.235 0.540
Cl 0.693 0.265 0.040
Cl 0.873 0.691 0.555
Cl 0.873 0.809 0.055

Summary:
Its magnetization is 2.067 μB per cell. The value obtained for the calculated density is 3.94 Mg/m³. As for the density of states at the Fermi level: 0.96 states/eV/f.u. Its energy above the most stable polymorph in this dataset is 0.000 eV per atom. As for the crystal system: monoclinic. The value obtained for the energy relative to the elements, uncorrected is -0.5003 eV per atom. Its space group is No. 14.

Record 8
## Tc2PtW (PBE-GGA)

Data for a relaxed Tc2PtW crystal.

a b c (Å): 3.928 3.928 3.901
angles (deg): 90.00 90.00 90.00
Fractional positions:
Tc 0.000 0.500 0.000
Tc 0.500 0.000 0.000
Pt 0.000 0.000 0.500
W 0.500 0.500 0.500

Summary:
Its magnetization is 0.000 μB per cell. The value obtained for the calculated density is 15.86 Mg/m³. As for the density of states at the Fermi level: 4.23 states/eV/f.u. The value obtained for the formation energy is -0.16 eV/atom. Its energy above the most stable polymorph in this dataset is 0.000 eV per atom. As for the crystal system: tetragonal. Its space group is No. 123.